No. 1
The following is a DFT calculation (PBE+U) of an optimized crystal structure of BaTbMo2O8.

The structure belongs to space group P-3m1 (No. 164); the cell edges are 5.9991, 5.9991 and 7.5639 Å and the angles 90.00°, 90.00° and 120.00°. Symmetry generates all atoms from Ba at (0.0000, 0.0000, 0.0000), Tb at (0.0000, 0.0000, 0.5000), Mo at (0.3333, 0.6667, 0.7717), O at (0.1647, 0.3295, 0.6971) and O at (0.3333, 0.6667, 0.0076).

As for the density of states at the Fermi level: 5.6 states/eV/cell. The value obtained for the uncorrected energy is -7.285 eV/atom. The crystal system is trigonal.


No. 2
The following is a DFT calculation (PBE+U) of an optimized crystal structure of Ba2TbMo3O12.

The structure belongs to space group R-3m (No. 166, hexagonal axes); the cell edges are 7.5088, 7.5088 and 17.0692 Å and the angles 90.00°, 90.00° and 120.00°. Symmetry generates all atoms from Ba at (0.0000, 0.0000, 0.1283), Tb at (0.0000, 0.0000, 0.5000), Mo at (0.0000, 0.5000, 0.0000), O at (0.0024, 0.5012, 0.8876) and O at (0.0835, 0.5418, 0.3304).

As for the density of states at the Fermi level: 12.2 states/eV/cell. The value obtained for the uncorrected energy is -7.109 eV/atom. The crystal system is trigonal.


No. 3
The following is a DFT calculation (PBE+U) of an optimized crystal structure of Ba2Tc3MoO12.

The structure belongs to space group R-3m (No. 166, hexagonal axes); the cell edges are 7.3356, 7.3356 and 17.8946 Å and the angles 90.00°, 90.00° and 120.00°. Symmetry generates all atoms from Ba at (0.0000, 0.0000, 0.1721), Tc at (0.0000, 0.5000, 0.0000), Mo at (0.0000, 0.0000, 0.5000), O at (0.0674, 0.5337, 0.1075) and O at (0.0844, 0.5422, 0.3568).

As for the density of states at the Fermi level: 25.8 states/eV/cell. The value obtained for the uncorrected energy is -7.379 eV/atom. The crystal system is trigonal.


No. 4
The following is a DFT calculation (PBE+U) of an optimized crystal structure of Ba2TcMoO6.

The structure belongs to space group R-3m (No. 166, hexagonal axes); the cell edges are 5.8871, 5.8871 and 29.2066 Å and the angles 90.00°, 90.00° and 120.00°. Symmetry generates all atoms from Ba at (0.0000, 0.0000, 0.1305), Ba at (0.0000, 0.0000, 0.2856), Tc at (0.0000, 0.0000, 0.0000), Tc at (0.0000, 0.0000, 0.5000), Mo at (0.0000, 0.0000, 0.4099), O at (0.0093, 0.5046, 0.7052) and O at (0.0184, 0.5092, 0.1237).

As for the density of states at the Fermi level: 25.2 states/eV/cell. The value obtained for the uncorrected energy is -7.216 eV/atom. The crystal system is trigonal.


> uncorrected energy of number 1 (BaTbMo2O8)?

-7.285 eV/atom


> What is the uncorrected energy in the fourth record?

-7.216 eV/atom


> Which value of uncorrected energy does entry 4 give?

-7.216 eV/atom